# 1
The following is a DFT calculation (PBE) of a geometry-optimized Tl2HgSe2 structure.

a = 8.0716 Å, b = 8.0716 Å, c = 4.5744 Å
α = 90.00°, β = 90.00°, γ = 90.00°
Closest atoms and distances in Å follow each position.
Sites, in units of the cell vectors:
Se  0.1799  0.3201  0.0000  2 Hg 2.96, 2 Tl 3.09
Se  0.6799  0.1799  0.0000  2 Hg 2.96, 2 Tl 3.09
Se  0.3201  0.8201  0.0000  2 Hg 2.96, 2 Tl 3.09
Se  0.8201  0.6799  0.0000  2 Hg 2.96, 2 Tl 3.09
Tl  0.3615  0.1385  0.5000  2 Se 3.09, 1 Tl 3.16
Tl  0.8615  0.3615  0.5000  2 Se 3.09, 1 Tl 3.16
Tl  0.1385  0.6385  0.5000  2 Se 3.09, 1 Tl 3.16
Tl  0.6385  0.8615  0.5000  2 Se 3.09, 1 Tl 3.16
Hg  0.0000  0.0000  0.0000  4 Se 2.96
Hg  0.5000  0.5000  0.0000  4 Se 2.96

## Properties
Formation energy (no corrections), eV per atom: -0.123
V, Å³ per atom: 29.80
Calculated total energy, eV/atom: -2.524
Energy above the most stable polymorph in this dataset, eV/atom: 0.170
N(E_F), states/eV/cell: 3.14

---

# 2
The following is a DFT calculation (PBE) of a geometry-optimized Tl2HgSe2 structure.

a = 8.4762 Å, b = 8.4762 Å, c = 3.8486 Å
α = 90.00°, β = 90.00°, γ = 90.00°
Closest atoms and distances in Å follow each position.
Sites, in units of the cell vectors:
Se  0.6499  0.8501  0.5000  6 Tl 3.07-3.19
Se  0.1499  0.6499  0.5000  6 Tl 3.07-3.19
Se  0.3501  0.1499  0.5000  6 Tl 3.07-3.19
Se  0.8501  0.3501  0.5000  6 Tl 3.07-3.19
Tl  0.1509  0.3491  0.0000  6 Se 3.07-3.19, 2 Hg 3.22
Tl  0.6509  0.1509  0.0000  6 Se 3.07-3.19, 2 Hg 3.22
Tl  0.3491  0.8491  0.0000  6 Se 3.07-3.19, 2 Hg 3.22
Tl  0.8491  0.6509  0.0000  6 Se 3.07-3.19, 2 Hg 3.22
Hg  0.0000  0.0000  0.0000  4 Tl 3.22
Hg  0.5000  0.5000  0.0000  4 Tl 3.22

## Properties
Formation energy (no corrections), eV per atom: -0.073
V, Å³ per atom: 27.65
Calculated total energy, eV/atom: -2.474
Energy above the most stable polymorph in this dataset, eV/atom: 0.221
N(E_F), states/eV/cell: 5.09